InP2F2 (PBE, relaxed); calculated total energy = -4.281 eV per atom; ΔE to the lowest computed polymorph = 0 meV/atom
1.0
-1.588 1.588 9.350
1.588 -1.588 9.350
1.588 1.588 -9.350
In P F
1 2 2
Direct
0.000 0.000 0.000
0.250 0.750 0.500
0.750 0.250 0.500
0.434 0.434 0.000
0.566 0.566 0.000



BaMg2Al (PBE, relaxed); calculated total energy = -2.246 eV per atom; energy relative to the elements = -0.032 eV/atom
1.0
4.238 -2.450 0.000
4.238 2.450 0.000
-2.841 0.000 6.063
Ba Mg Al
1 2 1
Direct
0.000 0.000 0.000
0.201 0.201 0.603
0.799 0.799 0.397
0.500 0.500 0.500



MnCu2I (PBE, relaxed); calculated total energy = -4.111 eV per atom; ΔE to the lowest computed polymorph = 0 meV/atom
1.0
-3.724 3.724 2.685
3.724 -3.724 2.685
3.724 3.724 -2.685
Mn Cu I
2 4 2
Direct
0.000 0.000 0.000
0.750 0.250 0.500
0.114 0.625 0.989
0.375 0.364 0.489
0.636 0.125 0.011
0.875 0.886 0.511
0.250 0.750 0.500
0.500 0.500 0.000



TbTlBi2 (PBE, relaxed); calculated total energy = -3.914 eV per atom; energy relative to the elements = -0.225 eV/atom; ΔE to the lowest computed polymorph = 171 meV/atom
1.0
2.575 1.487 6.088
-2.575 1.487 6.088
0.000 -2.973 6.088
Tb Tl Bi
1 1 2
Direct
0.000 0.000 0.000
0.179 0.179 0.179
0.411 0.411 0.411
0.590 0.590 0.590



V3RhS (PBE, relaxed); calculated total energy = -6.736 eV per atom; ΔE to the lowest computed polymorph = 932 meV/atom
1.0
4.644 0.000 0.000
0.000 4.644 0.000
0.000 0.000 4.644
V Rh S
3 1 1
Direct
0.000 0.000 0.500
0.000 0.500 0.000
0.500 0.000 0.000
0.000 0.000 0.000
0.500 0.500 0.500



Er2MgZn4Ga3 (PBE, relaxed); calculated total energy = -2.853 eV per atom; energy relative to the elements = -0.363 eV/atom
1.0
4.125 0.000 0.000
0.000 4.125 0.000
0.000 0.000 11.017
Er Mg Zn Ga
2 1 4 3
Direct
0.000 0.500 0.237
0.500 0.000 0.763
0.000 0.000 0.500
0.000 0.000 0.000
0.000 0.500 0.646
0.500 0.000 0.354
0.500 0.500 0.000
0.000 0.500 0.863
0.500 0.000 0.137
0.500 0.500 0.500